(1)
Li3Ga2 (GGA-PBE, relaxed); SG = Fdd2 (43); crystal system = orthorhombic; raw total energy = -25.7 eV per cell; relative energy among the computed polymorphs = 110 meV per atom
1.0
0.0000 6.7767 2.5563
4.6668 0.0000 2.5563
4.6668 6.7767 0.0000
Li Ga
6 4
Direct
0.0000 0.0000 0.0000
0.2500 0.2500 0.2500
0.4218 0.5656 0.3773
0.5656 0.4218 0.6354
0.6146 0.8727 0.6844
0.8727 0.6146 0.8282
0.9996 0.4318 0.0987
0.1513 0.7801 0.2504
0.4318 0.9996 0.4699
0.7801 0.1513 0.8182

---

(2)
LiGa8 (GGA-PBE, relaxed); SG = I4/mmm (139); crystal system = tetragonal; raw total energy = -26.4 eV per cell; relative energy among the computed polymorphs = 29 meV per atom
1.0
-5.0467 5.0467 1.6373
5.0467 -5.0467 1.6373
5.0467 5.0467 -1.6373
Li Ga
1 8
Direct
0.0000 0.0000 0.0000
0.0000 0.3326 0.3326
0.0000 0.6674 0.6674
0.3326 0.0000 0.3326
0.3338 0.3338 0.6675
0.3338 0.6662 0.0000
0.6662 0.3338 0.0000
0.6662 0.6662 0.3325
0.6674 0.0000 0.6674

---

(3)
Li3Ga13 (GGA-PBE, relaxed); SG = Amm2 (38); crystal system = orthorhombic; raw total energy = -46.8 eV per cell
1.0
7.8247 0.0000 0.0000
0.0000 4.1547 4.3406
0.0000 -4.1547 4.3406
Li Ga
3 13
Direct
0.0000 0.0000 0.0000
0.2630 0.2500 0.2500
0.7370 0.2500 0.2500
0.0000 0.0033 0.4916
0.0000 0.4827 0.4827
0.0000 0.4916 0.0033
0.2394 0.7516 0.7516
0.2498 0.2528 0.7517
0.2498 0.7517 0.2528
0.5000 0.5003 0.5003
0.5000 0.5101 0.9975
0.5000 0.9975 0.5101
0.5000 0.9992 0.9992
0.7502 0.2528 0.7517
0.7502 0.7517 0.2528
0.7606 0.7516 0.7516

---

(4)
Li2Ga7 (GGA-PBE, relaxed); SG = R-3m (166); crystal system = trigonal; raw total energy = -51.3 eV per cell; relative energy among the computed polymorphs = 121 meV per atom
1.0
2.7226 1.5719 13.7736
-2.7226 1.5719 13.7736
0.0000 -3.1438 13.7736
Li Ga
4 14
Direct
0.0380 0.0380 0.0380
0.1480 0.1480 0.1480
0.8520 0.8520 0.8520
0.9620 0.9620 0.9620
0.0000 0.5000 0.5000
0.1062 0.6200 0.6200
0.2753 0.2753 0.2753
0.3800 0.3800 0.8938
0.3800 0.8938 0.3800
0.3941 0.3941 0.3941
0.5000 0.0000 0.5000
0.5000 0.5000 0.0000
0.5000 0.5000 0.5000
0.6059 0.6059 0.6059
0.6200 0.1062 0.6200
0.6200 0.6200 0.1062
0.7247 0.7247 0.7247
0.8938 0.3800 0.3800

---

(5)
Li2Ga3 (GGA-PBE, relaxed); SG = R-3c (167); crystal system = trigonal; raw total energy = -26.0 eV per cell; relative energy among the computed polymorphs = 226 meV per atom
1.0
3.3657 1.9432 4.6413
-3.3657 1.9432 4.6413
0.0000 -3.8864 4.6413
Li Ga
4 6
Direct
0.0913 0.0913 0.0913
0.4087 0.4087 0.4087
0.5913 0.5913 0.5913
0.9087 0.9087 0.9087
0.0088 0.2500 0.4912
0.2500 0.4912 0.0088
0.4912 0.0088 0.2500
0.5088 0.9912 0.7500
0.7500 0.5088 0.9912
0.9912 0.7500 0.5088

---

(6)
Li5Ga4 (GGA-PBE, relaxed); SG = C2/m (12); crystal system = monoclinic; raw total energy = -24.0 eV per cell; relative energy among the computed polymorphs = 75 meV per atom
1.0
4.6947 -2.2357 0.0000
4.6947 2.2357 0.0000
-4.5360 0.0000 6.7780
Li Ga
5 4
Direct
0.0000 0.0000 0.0000
0.3267 0.3267 0.4452
0.3339 0.3339 0.1101
0.6661 0.6661 0.8899
0.6733 0.6733 0.5548
0.0130 0.0130 0.6730
0.3421 0.3421 0.7882
0.6579 0.6579 0.2118
0.9870 0.9870 0.3270

---

(7)
LiGa2 (GGA-PBE, relaxed); SG = Fd-3m (227); crystal system = cubic; raw total energy = -16.8 eV per cell; relative energy among the computed polymorphs = 92 meV per atom
1.0
0.0000 3.8230 3.8230
3.8230 0.0000 3.8230
3.8230 3.8230 0.0000
Li Ga
2 4
Direct
0.1250 0.1250 0.1250
0.8750 0.8750 0.8750
0.0000 0.5000 0.5000
0.5000 0.0000 0.5000
0.5000 0.5000 0.0000
0.5000 0.5000 0.5000

---

(8)
Li3Ga (GGA-PBE, relaxed); SG = P4/mmm (123); crystal system = tetragonal; raw total energy = -9.4 eV per cell; relative energy among the computed polymorphs = 41 meV per atom
1.0
4.2023 0.0000 0.0000
0.0000 4.2023 0.0000
0.0000 0.0000 3.7409
Li Ga
3 1
Direct
0.0000 0.0000 0.0000
0.0000 0.5000 0.5000
0.5000 0.0000 0.5000
0.5000 0.5000 0.0000

---

(9)
LiGa5 (GGA-PBE, relaxed); SG = Cmmm (65); crystal system = orthorhombic; raw total energy = -17.7 eV per cell; relative energy among the computed polymorphs = 0 meV per atom
1.0
2.0317 -6.2264 0.0000
2.0317 6.2264 0.0000
0.0000 0.0000 4.1916
Li Ga
1 5
Direct
0.0000 0.0000 0.0000
0.1630 0.8370 0.5000
0.3331 0.6669 0.0000
0.5000 0.5000 0.5000
0.6669 0.3331 0.0000
0.8370 0.1630 0.5000

---

(10)
Li6Ga (GGA-PBE, relaxed); SG = Im-3m (229); crystal system = cubic; raw total energy = -10.9 eV per cell; relative energy among the computed polymorphs = 600 meV per atom
1.0
-3.4550 3.4550 3.4550
3.4550 -3.4550 3.4550
3.4550 3.4550 -3.4550
Li Ga
6 1
Direct
0.2500 0.5000 0.7500
0.2500 0.7500 0.5000
0.5000 0.2500 0.7500
0.5000 0.7500 0.2500
0.7500 0.2500 0.5000
0.7500 0.5000 0.2500
0.0000 0.0000 0.0000

---

(11)
LiGa3 (GGA-PBE, relaxed); SG = P4/mmm (123); crystal system = tetragonal; raw total energy = -11.6 eV per cell
1.0
3.9986 0.0000 0.0000
0.0000 3.9986 0.0000
0.0000 0.0000 4.2633
Li Ga
1 3
Direct
0.0000 0.0000 0.0000
0.0000 0.5000 0.5000
0.5000 0.0000 0.5000
0.5000 0.5000 0.0000

---

(12)
LiGa6 (GGA-PBE, relaxed); SG = P4/nbm (125); crystal system = tetragonal; raw total energy = -41.3 eV per cell; relative energy among the computed polymorphs = 0 meV per atom
1.0
5.9269 0.0000 0.0000
0.0000 5.9269 0.0000
0.0000 0.0000 7.7120
Li Ga
2 12
Direct
0.2500 0.7500 0.0000
0.7500 0.2500 0.0000
0.0621 0.5621 0.3491
0.0621 0.9379 0.6509
0.2500 0.2500 0.1585
0.2500 0.2500 0.8415
0.4379 0.5621 0.6509
0.4379 0.9379 0.3491
0.5621 0.0621 0.6509
0.5621 0.4379 0.3491
0.7500 0.7500 0.1585
0.7500 0.7500 0.8415
0.9379 0.0621 0.3491
0.9379 0.4379 0.6509